## Cu3Pd (PBE)

Data for crystalline Cu3Pd at its relaxed geometry.

Output
* SG: P4/mmm, No. 123
* VASP energy: -4.185 eV/atom
* ΔE_f: -0.1039 eV per atom

a b c (Å): 3.7163 3.7163 3.6828
angles (deg): 90.00 90.00 90.00
Element x y z (fractional)
Cu (0.0000, 0.0000, 0.0000)
Cu (0.0000, 0.5000, 0.5000)
Cu (0.5000, 0.0000, 0.5000)
Pd (0.5000, 0.5000, 0.0000)


## CuPd (PBE)

Data for crystalline CuPd at its relaxed geometry.

Output
* SG: P-6m2, No. 187
* VASP energy: -4.527 eV/atom
* ΔE_f: -0.0814 eV per atom

a b c (Å): 2.7101 2.7101 4.3084
angles (deg): 90.00 90.00 120.00
Element x y z (fractional)
Cu (0.0000, 0.0000, 0.0000)
Pd (0.6667, 0.3333, 0.5000)